NpTc2Rh: relaxed, PBE-GGA.

a b c (Å): 4.5157 4.5157 4.5157
angles (deg): 62.49 62.49 62.49
Positions (direct):
1 Np 0.0000 0.0000 0.0000
2 Tc 0.2127 0.2127 0.2127
3 Tc 0.7873 0.7873 0.7873
4 Rh 0.5000 0.5000 0.5000

Properties
energy relative to the lowest polymorph listed for this composition = 133.5 meV/atom
SG = R-3m
DFT formation energy = 0.08 eV/atom